Here is an optimized crystal structure of MnTc2HRu from Alexandria via LeMat-Bulk. Energies are from GGA-PBE.

distance to the lowest polymorph of the same formula = 0.66 kcal/mol of atoms
total DFT energy (no corrections) = -8.42 eV/atom

a b c (Å): 3.8684 3.8684 3.8663
angles (deg): 90.00 90.00 90.00
Last column: nearest neighbours and their distance in Å.
Space group P4/mmm (No. 123)
Inequivalent atoms, fractional coordinates:
Mn 0.0000 0.0000 0.0000 x1  8 Tc 2.73, 4 Ru 2.74
Tc 0.0000 0.5000 0.5000 x2  2 H 1.93
H 0.5000 0.5000 0.5000 x1  2 Ru 1.93, 4 Tc 1.93
Ru 0.5000 0.5000 0.0000 x1  2 H 1.93